[1]
# Ho6C2O | the Alexandria database | PBE | relaxed
data_Ho6C2O
_chemical_formula_sum 'Ho18 C6 O3'
_symmetry_space_group_name_H-M 'R -3'
_symmetry_Int_Tables_number 148
_symmetry_space_group_name_Hall '-R 3'
_cell_length_a 6.1299
_cell_length_b 6.1299
_cell_length_c 17.8350
_cell_angle_alpha 90.00
_cell_angle_beta 90.00
_cell_angle_gamma 120.00
loop_
_atom_site_label
_atom_site_type_symbol
_atom_site_fract_x
_atom_site_fract_y
_atom_site_fract_z
Ho1 Ho 0.0114 0.6520 0.0802
C1 C 0.0000 0.0000 0.3276
O1 O 0.0000 0.0000 0.5000
# formation energy without anion corrections	-777	meV per atom
# calculated volume	21.50	Å³/atom

---

[2]
# BaMnSI2 | the Alexandria database | PBE | relaxed
data_BaMnSI2
_chemical_formula_sum 'Ba1 Mn1 S1 I2'
_symmetry_space_group_name_H-M 'P 4/m m m'
_symmetry_Int_Tables_number 123
_symmetry_space_group_name_Hall '-P 4 2'
_cell_length_a 4.9518
_cell_length_b 4.9518
_cell_length_c 6.9178
_cell_angle_alpha 90.00
_cell_angle_beta 90.00
_cell_angle_gamma 90.00
loop_
_atom_site_label
_atom_site_type_symbol
_atom_site_fract_x
_atom_site_fract_y
_atom_site_fract_z
Ba1 Ba 0.0000 0.0000 0.0000
Mn1 Mn 0.0000 0.0000 0.5000
S1 S 0.5000 0.5000 0.0000
I1 I 0.0000 0.5000 0.5000
# formation energy without anion corrections	-39	meV per atom
# calculated volume	33.92	Å³/atom